Below is a geometry-optimized MnTlRu2 structure, with properties calculated at the PBE-GGA level.

Summary:
- Electronic total energy: -56.75 eV per cell
- Energy relative to the elements: 0.4282 eV/atom
- Space group: Cm, No. 8
- Fermi-level density of states: 3.2 states/eV/f.u.
- Magnetic moment: 0.828 μB per atom
- Crystal system: monoclinic
- Offset from the most stable computed form: 0.48 eV per formula unit

Cell: 9.238 2.960 4.788 Å, 90.00 100.94 90.00°
Fractional coordinates of all 8 atoms:
Mn (0.000, 0.000, 0.000)
Mn (0.500, 0.500, 0.000)
Tl (0.260, 0.500, 0.272)
Tl (0.760, 0.000, 0.272)
Ru (0.017, 0.500, 0.573)
Ru (0.254, 0.000, 0.767)
Ru (0.517, 0.000, 0.573)
Ru (0.754, 0.500, 0.767)